1.
Entry from Alexandria: a geometry-optimized SiOsRu2 structure (PBEsol).

Computed properties:
ΔE_f (raw) ... -0.0583 eV per atom
Crystal system ... monoclinic
Space-group type ... C2/m, No. 12
Theoretical density ... 13.2 Mg/m³

abc: 4.575 4.575 4.493
angles: 99.07 99.07 34.75
Fractional positions:
Si 0.000 0.000 0.000
Os 0.500 0.500 0.500
Ru 0.248 0.248 0.751
Ru 0.752 0.752 0.249


2.
Entry from Alexandria: a geometry-optimized Si2OsRu structure (PBEsol).

Computed properties:
ΔE_f (raw) ... -0.5762 eV per atom
Crystal system ... cubic
Space-group type ... Fm-3m, No. 225
Theoretical density ... 11.6 Mg/m³

abc: 4.130 4.130 4.130
angles: 60.00 60.00 60.00
Fractional positions:
Si 0.250 0.250 0.250
Si 0.750 0.750 0.750
Os 0.000 0.000 0.000
Ru 0.500 0.500 0.500


3.
Entry from Alexandria: a geometry-optimized SiOsRu2 structure (PBEsol).

Computed properties:
ΔE_f (raw) ... 0.2942 eV per atom
Crystal system ... orthorhombic
Space-group type ... Cmm2, No. 35
Theoretical density ... 12.9 Mg/m³

abc: 2.711 2.711 8.384
angles: 90.00 90.00 118.24
Fractional positions:
Si 0.000 0.000 0.000
Os 0.500 0.500 0.234
Ru 0.000 0.000 0.505
Ru 0.500 0.500 0.774


Look up the theoretical density of the first one. 13.2 Mg/m³